# 1
Density functional theory data (meta-GGA SCAN) for Be7Os at its PBEsol-relaxed geometry.

## Properties
As for the total energy: -0.944 Ry per atom. Its space-group type is Fm-3m (225). The density of states at the Fermi level comes out at 2.809 states/eV/cell.

Structure (extended XYZ):
```
8
Lattice="0.000 3.310 3.310 3.310 0.000 3.310 3.310 3.310 0.000" Properties=species:S:1:pos:R:3 pbc="T T T"
Be 0.000 0.000 0.000
Be 1.655 1.655 0.000
Be 1.655 0.000 1.655
Be 3.310 1.655 1.655
Be 0.000 1.655 1.655
Be 1.655 3.310 1.655
Be 1.655 1.655 3.310
Os 3.310 3.310 3.310
```


# 2
Density functional theory data (meta-GGA SCAN) for Li2CoOs at its PBEsol-relaxed geometry.

## Properties
As for the total energy: -1.697 Ry per atom. Its space-group type is P4/mmm (123). The density of states at the Fermi level comes out at 3.818 states/eV/cell. Its energy above the most stable polymorph in this dataset is 157 meV per atom.

Structure (extended XYZ):
```
4
Lattice="3.372 0.000 0.000 0.000 3.372 0.000 0.000 0.000 4.264" Properties=species:S:1:pos:R:3 pbc="T T T"
Li 0.000 1.686 0.000
Li 1.686 0.000 0.000
Co 0.000 0.000 2.132
Os 1.686 1.686 2.132
```


# 3
Density functional theory data (meta-GGA SCAN) for LiHf3Sn at its PBEsol-relaxed geometry.

## Properties
As for the total energy: -3.242 Ry per atom. Its space-group type is Pm-3m (221). The density of states at the Fermi level comes out at 7.086 states/eV/cell.

Structure (extended XYZ):
```
5
Lattice="5.251 0.000 0.000 0.000 5.251 0.000 0.000 0.000 5.251" Properties=species:S:1:pos:R:3 pbc="T T T"
Li 0.000 0.000 0.000
Hf 0.000 2.625 2.625
Hf 2.625 0.000 2.625
Hf 2.625 2.625 0.000
Sn 2.625 2.625 2.625
```


# 4
Density functional theory data (meta-GGA SCAN) for Ca2Ag2Au at its PBEsol-relaxed geometry.

## Properties
As for the total energy: -2.255 Ry per atom. Its space-group type is P4/mbm (127). The density of states at the Fermi level comes out at 4.102 states/eV/cell.

Structure (extended XYZ):
```
10
Lattice="7.431 0.000 0.000 0.000 7.431 0.000 0.000 0.000 4.125" Properties=species:S:1:pos:R:3 pbc="T T T"
Ca 1.314 2.401 0.000
Ca 2.401 6.117 0.000
Ca 5.030 1.314 0.000
Ca 6.117 5.030 0.000
Ag 0.958 4.673 2.062
Ag 2.758 0.958 2.062
Ag 4.673 6.473 2.062
Ag 6.473 2.758 2.062
Au 0.000 0.000 2.062
Au 3.715 3.715 2.062
```


Ordered spin magnetization results: 0.00 0.01 0.00 0.00; unit μB per cell.